[1]
Compound: FePRh
Source: the Alexandria database
Functional: SCAN
Structure: single point on PBEsol structure

Its formation energy is -41 meV/atom. The value obtained for the total moment is 0.0 μB per cell. Its volume is 35.4 Å³/f.u.

The space group is P3m1 (No. 156) and the conventional cell measures 2.7187, 2.7187 and 5.5306 Å, with angles of 90.00, 90.00 and 120.00 degrees. The inequivalent atoms are Fe at (0.0000, 0.0000, 0.0000), P at (0.3333, 0.6667, 0.7208) and Rh at (0.6667, 0.3333, 0.3930).

[2]
Compound: FePRh3
Source: the Alexandria database
Functional: SCAN
Structure: single point on PBEsol structure

Its formation energy is 136 meV/atom. The value obtained for the total moment is 4.2 μB per cell. Its volume is 77.9 Å³/f.u.

The space group is Pm-3m (No. 221) and the conventional cell measures 4.2714, 4.2714 and 4.2714 Å, with angles of 90.00, 90.00 and 90.00 degrees. The inequivalent atoms are Fe at (0.0000, 0.0000, 0.0000), P at (0.5000, 0.5000, 0.5000) and Rh at (0.0000, 0.5000, 0.5000).

[3]
Compound: FeP2Rh
Source: the Alexandria database
Functional: SCAN
Structure: single point on PBEsol structure

Its formation energy is -135 meV/atom. The value obtained for the total moment is 9.0 μB per cell. Its volume is 47.8 Å³/f.u.

The space group is Fm-3m (No. 225) and the conventional cell measures 5.7596, 5.7596 and 5.7596 Å, with angles of 90.00, 90.00 and 90.00 degrees. The inequivalent atoms are Fe at (0.0000, 0.0000, 0.0000), P at (0.2500, 0.2500, 0.2500) and Rh at (0.0000, 0.0000, 0.5000).